# 1
This record from Alexandria describes ScTlCl at its PBEsol-relaxed geometry. The functional is meta-GGA SCAN.

The structure in extended XYZ format:
```
3
Lattice="-0.089 -1.661 4.434 4.004 -0.247 2.517 0.691 2.943 3.645" Properties=species:S:1:pos:R:3 pbc="T T T"
Sc 1.151 0.259 2.649
Tl 0.000 0.000 0.000
Cl 2.303 0.517 5.298
```

Summary:
excess energy over the best structure of this formula in the dataset: 0.567 eV/atom
size of the total moment: 0.00 μB per cell
total DFT energy (no corrections): -31.812 eV per atom

***

# 2
This record from Alexandria describes ScTlCl at its PBEsol-relaxed geometry. The functional is meta-GGA SCAN.

The structure in extended XYZ format:
```
3
Lattice="-1.298 -1.729 2.534 2.739 0.585 1.802 -3.156 5.486 -0.062" Properties=species:S:1:pos:R:3 pbc="T T T"
Sc 0.079 0.724 2.724
Tl -1.580 3.190 1.367
Cl -0.212 0.428 0.183
```

Summary:
excess energy over the best structure of this formula in the dataset: 0.000 eV/atom
size of the total moment: 0.00 μB per cell
total DFT energy (no corrections): -32.378 eV per atom

***

# 3
This record from Alexandria describes ScWCl at its PBEsol-relaxed geometry. The functional is meta-GGA SCAN.

The structure in extended XYZ format:
```
3
Lattice="-1.363 -2.570 0.904 1.516 0.073 -2.641 6.135 -2.036 3.466" Properties=species:S:1:pos:R:3 pbc="T T T"
Sc 4.763 -2.204 0.917
W 1.962 -2.474 1.058
Cl 5.698 -1.891 3.219
```

Summary:
size of the total moment: 0.00 μB per cell
total DFT energy (no corrections): -30.731 eV per atom

***

# 4
This record from Alexandria describes Sc2WCl at its PBEsol-relaxed geometry. The functional is meta-GGA SCAN.

The structure in extended XYZ format:
```
4
Lattice="-1.789 -2.084 1.394 1.392 -1.170 -2.486 7.015 -0.557 4.575" Properties=species:S:1:pos:R:3 pbc="T T T"
Sc 2.453 -1.896 -0.710
Sc 4.166 -1.916 4.193
W 4.204 -0.864 1.045
Cl -0.199 -1.627 -0.546
```

Summary:
excess energy over the best structure of this formula in the dataset: 0.000 eV/atom
size of the total moment: 0.00 μB per cell
total DFT energy (no corrections): -27.032 eV per atom

***

# 5
This record from Alexandria describes Sc2WCl at its PBEsol-relaxed geometry. The functional is meta-GGA SCAN.

The structure in extended XYZ format:
```
4
Lattice="-1.990 -1.622 -1.866 0.782 -2.685 1.500 -5.593 1.147 4.968" Properties=species:S:1:pos:R:3 pbc="T T T"
Sc -4.346 0.891 3.860
Sc -1.247 0.256 1.108
W -0.604 -2.154 -0.183
Cl -3.401 -1.580 2.301
```

Summary:
excess energy over the best structure of this formula in the dataset: 0.096 eV/atom
size of the total moment: 0.00 μB per cell
total DFT energy (no corrections): -26.935 eV per atom

***

# 6
This record from Alexandria describes YScCl2 at its PBEsol-relaxed geometry. The functional is meta-GGA SCAN.

The structure in extended XYZ format:
```
4
Lattice="-1.240 1.332 -3.066 1.105 -1.353 -3.107 -7.018 -6.100 -1.885" Properties=species:S:1:pos:R:3 pbc="T T T"
Y -1.700 -1.454 -2.017
Sc -3.737 -3.202 -4.025
Cl -0.460 -0.306 -6.165
Cl -4.965 -4.242 -6.053
```

Summary:
excess energy over the best structure of this formula in the dataset: 0.000 eV/atom
size of the total moment: 1.65 μB per cell
total DFT energy (no corrections): -16.166 eV per atom

***

# 7
This record from Alexandria describes YSc2Cl at its PBEsol-relaxed geometry. The functional is meta-GGA SCAN.

The structure in extended XYZ format:
```
4
Lattice="-1.867 1.931 1.732 -3.052 0.951 -4.349 -0.586 -5.506 2.557" Properties=species:S:1:pos:R:3 pbc="T T T"
Y -0.933 0.965 0.866
Sc -3.748 -0.279 -0.780
Sc -1.757 -2.345 0.720
Cl -1.526 0.476 -2.175
```

Summary:
excess energy over the best structure of this formula in the dataset: 0.083 eV/atom
size of the total moment: 0.00 μB per cell
total DFT energy (no corrections): -16.539 eV per atom

***

# 8
This record from Alexandria describes Y4ScCl at its PBEsol-relaxed geometry. The functional is meta-GGA SCAN.

The structure in extended XYZ format:
```
6
Lattice="-4.297 3.874 -2.730 -3.664 -2.152 -4.782 -6.250 -0.981 0.950" Properties=species:S:1:pos:R:3 pbc="T T T"
Cl -10.658 0.556 -4.921
Sc 0.000 0.000 0.000
Y -5.295 0.276 -2.445
Y -8.480 -0.224 -1.960
Y -7.485 2.250 -3.836
Y -7.162 -0.821 -4.882
```

Summary:
size of the total moment: 2.36 μB per cell
total DFT energy (no corrections): -21.896 eV per atom

***

# 9
This record from Alexandria describes Y2ScCl at its PBEsol-relaxed geometry. The functional is meta-GGA SCAN.

The structure in extended XYZ format:
```
4
Lattice="4.298 0.000 0.000 0.000 4.298 0.000 -2.149 -2.149 5.556" Properties=species:S:1:pos:R:3 pbc="T T T"
Y 0.000 0.000 0.000
Y 2.149 0.000 2.778
Sc 0.000 2.149 2.778
Cl 2.149 2.149 0.000
```

Summary:
excess energy over the best structure of this formula in the dataset: 0.675 eV/atom
size of the total moment: 3.69 μB per cell
total DFT energy (no corrections): -19.561 eV per atom

***

# 10
This record from Alexandria describes YScCl2 at its PBEsol-relaxed geometry. The functional is meta-GGA SCAN.

The structure in extended XYZ format:
```
4
Lattice="3.401 0.000 0.000 1.701 2.946 0.000 1.701 0.982 8.903" Properties=species:S:1:pos:R:3 pbc="T T T"
Y 0.000 0.000 0.000
Sc 3.401 1.964 4.451
Cl 5.102 2.946 2.745
Cl 1.701 0.982 6.158
```

Summary:
excess energy over the best structure of this formula in the dataset: 0.341 eV/atom
size of the total moment: 0.26 μB per cell
total DFT energy (no corrections): -15.825 eV per atom

***

# 11
This record from Alexandria describes YSc2Cl at its PBEsol-relaxed geometry. The functional is meta-GGA SCAN.

The structure in extended XYZ format:
```
4
Lattice="3.304 0.000 0.000 0.000 4.581 0.000 0.000 -2.291 5.850" Properties=species:S:1:pos:R:3 pbc="T T T"
Y 0.000 2.291 0.214
Sc 0.000 2.291 3.462
Sc 1.652 0.000 2.370
Cl 1.652 2.291 5.650
```

Summary:
excess energy over the best structure of this formula in the dataset: 0.000 eV/atom
size of the total moment: 0.00 μB per cell
total DFT energy (no corrections): -16.623 eV per atom

***

# 12
This record from Alexandria describes Y2ScCl at its PBEsol-relaxed geometry. The functional is meta-GGA SCAN.

The structure in extended XYZ format:
```
4
Lattice="-4.012 -2.148 0.831 2.219 -4.052 0.236 1.542 3.730 4.211" Properties=species:S:1:pos:R:3 pbc="T T T"
Y -1.683 -0.759 2.788
Y 1.432 -1.711 2.490
Sc 0.000 0.000 0.000
Cl -0.896 -3.100 0.533
```

Summary:
excess energy over the best structure of this formula in the dataset: 0.736 eV/atom
size of the total moment: 3.58 μB per cell
total DFT energy (no corrections): -19.500 eV per atom

***

# 13
This record from Alexandria describes YScCl2 at its PBEsol-relaxed geometry. The functional is meta-GGA SCAN.

The structure in extended XYZ format:
```
4
Lattice="-3.376 -1.008 -0.333 0.777 -1.589 -3.065 1.371 -5.679 3.291" Properties=species:S:1:pos:R:3 pbc="T T T"
Y -0.259 -5.610 0.800
Sc 0.582 -2.410 1.397
Cl 1.366 -5.658 3.279
Cl -0.861 -3.115 -0.646
```

Summary:
excess energy over the best structure of this formula in the dataset: 0.093 eV/atom
size of the total moment: 0.00 μB per cell
total DFT energy (no corrections): -16.073 eV per atom

***

# 14
This record from Alexandria describes YScCl2 at its PBEsol-relaxed geometry. The functional is meta-GGA SCAN.

The structure in extended XYZ format:
```
4
Lattice="3.262 0.000 0.000 1.631 5.311 0.005 1.631 1.841 4.982" Properties=species:S:1:pos:R:3 pbc="T T T"
Y 1.631 3.576 2.494
Sc 1.631 0.000 0.000
Cl 3.262 5.437 3.791
Cl 3.262 1.716 1.196
```

Summary:
excess energy over the best structure of this formula in the dataset: 0.373 eV/atom
size of the total moment: 0.00 μB per cell
total DFT energy (no corrections): -15.793 eV per atom

***

# 15
This record from Alexandria describes Y2ScCl at its PBEsol-relaxed geometry. The functional is meta-GGA SCAN.

The structure in extended XYZ format:
```
4
Lattice="-3.278 0.356 0.785 0.771 -2.509 -2.144 1.139 -6.074 7.517" Properties=species:S:1:pos:R:3 pbc="T T T"
Y 0.015 -0.078 0.097
Y -0.435 -5.440 4.721
Sc -0.933 -2.786 1.436
Cl 0.555 -2.959 3.662
```

Summary:
excess energy over the best structure of this formula in the dataset: 0.182 eV/atom
size of the total moment: 1.41 μB per cell
total DFT energy (no corrections): -20.054 eV per atom

***

# 16
This record from Alexandria describes YSc2Cl at its PBEsol-relaxed geometry. The functional is meta-GGA SCAN.

The structure in extended XYZ format:
```
4
Lattice="3.246 0.000 0.000 0.000 3.246 0.000 0.000 0.000 8.714" Properties=species:S:1:pos:R:3 pbc="T T T"
Y 1.623 1.623 0.000
Sc 0.000 0.000 6.313
Sc 0.000 0.000 2.401
Cl 1.623 1.623 4.357
```

Summary:
excess energy over the best structure of this formula in the dataset: 0.071 eV/atom
size of the total moment: 1.23 μB per cell
total DFT energy (no corrections): -16.552 eV per atom

***

# 17
This record from Alexandria describes YScCl2 at its PBEsol-relaxed geometry. The functional is meta-GGA SCAN.

The structure in extended XYZ format:
```
4
Lattice="4.675 0.000 0.000 2.337 4.049 0.000 2.337 1.350 3.817" Properties=species:S:1:pos:R:3 pbc="T T T"
Y 0.000 0.000 0.000
Sc 4.675 2.699 1.909
Cl 7.012 4.049 2.863
Cl 2.337 1.350 0.954
```

Summary:
excess energy over the best structure of this formula in the dataset: 0.618 eV/atom
size of the total moment: 0.00 μB per cell
total DFT energy (no corrections): -15.548 eV per atom

***

# 18
This record from Alexandria describes Y2ScCl at its PBEsol-relaxed geometry. The functional is meta-GGA SCAN.

The structure in extended XYZ format:
```
4
Lattice="3.496 0.000 0.000 1.748 3.027 0.000 1.748 1.009 9.432" Properties=species:S:1:pos:R:3 pbc="T T T"
Y 1.748 1.009 2.614
Y 5.243 3.027 6.818
Sc 0.000 0.000 0.000
Cl 3.496 2.018 4.716
```

Summary:
excess energy over the best structure of this formula in the dataset: 0.000 eV/atom
size of the total moment: 1.19 μB per cell
total DFT energy (no corrections): -20.236 eV per atom

***

# 19
This record from Alexandria describes ScZnCl2 at its PBEsol-relaxed geometry. The functional is meta-GGA SCAN.

The structure in extended XYZ format:
```
4
Lattice="3.129 0.000 0.000 0.000 3.129 0.000 0.000 0.000 8.691" Properties=species:S:1:pos:R:3 pbc="T T T"
Sc 1.564 1.564 0.000
Zn 1.564 1.564 4.345
Cl 0.000 0.000 7.191
Cl 0.000 0.000 1.500
```

Summary:
excess energy over the best structure of this formula in the dataset: 0.000 eV/atom
size of the total moment: 0.00 μB per cell
total DFT energy (no corrections): -12.111 eV per atom

***

# 20
This record from Alexandria describes Sc2ZnCl at its PBEsol-relaxed geometry. The functional is meta-GGA SCAN.

The structure in extended XYZ format:
```
4
Lattice="-0.304 1.406 -3.400 -4.812 0.139 -1.517 -1.996 4.635 0.091" Properties=species:S:1:pos:R:3 pbc="T T T"
Sc -5.025 3.851 -1.966
Sc -2.086 2.329 -2.859
Zn -0.152 0.703 -1.700
Cl -3.404 2.387 -0.713
```

Summary:
size of the total moment: 0.00 μB per cell
total DFT energy (no corrections): -13.029 eV per atom